No. 1
# Y2CN2O2, relaxed, DFT PBEsol
data_Y2CN2O2
_space_group_name_H-M_alt 'P 1'
_space_group_IT_number 1
_cell_length_a 3.684
_cell_length_b 3.684
_cell_length_c 8.128
_cell_angle_alpha 90.00
_cell_angle_beta 90.00
_cell_angle_gamma 120.00
loop_
_space_group_symop_operation_xyz
'x,y,z'
loop_
_atom_site_label
_atom_site_type_symbol
_atom_site_fract_x
_atom_site_fract_y
_atom_site_fract_z
_atom_site_occupancy
Y1 Y 0.333 0.667 0.177 1
Y2 Y 0.667 0.333 0.823 1
C1 C 0.000 0.000 0.500 1
N1 N 0.000 0.000 0.348 1
N2 N 0.000 0.000 0.652 1
O1 O 0.333 0.667 0.897 1
O2 O 0.667 0.333 0.103 1
# * space group: No. 164
# * total energy: -9.52 eV per atom
# * raw formation energy: -2.2534 eV per atom

No. 2
# Y2CN2O2, relaxed, DFT PBEsol
data_Y2CN2O2
_space_group_name_H-M_alt 'P 1'
_space_group_IT_number 1
_cell_length_a 3.685
_cell_length_b 3.685
_cell_length_c 16.265
_cell_angle_alpha 90.00
_cell_angle_beta 90.00
_cell_angle_gamma 120.00
loop_
_space_group_symop_operation_xyz
'x,y,z'
loop_
_atom_site_label
_atom_site_type_symbol
_atom_site_fract_x
_atom_site_fract_y
_atom_site_fract_z
_atom_site_occupancy
Y1 Y 0.333 0.667 0.088 1
Y2 Y 0.333 0.667 0.412 1
Y3 Y 0.667 0.333 0.588 1
Y4 Y 0.667 0.333 0.912 1
C1 C 0.000 0.000 0.250 1
C2 C 0.000 0.000 0.750 1
N1 N 0.000 0.000 0.174 1
N2 N 0.000 0.000 0.326 1
N3 N 0.000 0.000 0.674 1
N4 N 0.000 0.000 0.826 1
O1 O 0.333 0.667 0.551 1
O2 O 0.333 0.667 0.949 1
O3 O 0.667 0.333 0.051 1
O4 O 0.667 0.333 0.449 1
# * space group: No. 194
# * total energy: -9.51 eV per atom
# * raw formation energy: -2.2521 eV per atom

No. 3
# ZrCNO2, relaxed, DFT PBEsol
data_ZrCNO2
_space_group_name_H-M_alt 'P 1'
_space_group_IT_number 1
_cell_length_a 3.416
_cell_length_b 3.416
_cell_length_c 3.480
_cell_angle_alpha 90.00
_cell_angle_beta 90.00
_cell_angle_gamma 90.00
loop_
_space_group_symop_operation_xyz
'x,y,z'
loop_
_atom_site_label
_atom_site_type_symbol
_atom_site_fract_x
_atom_site_fract_y
_atom_site_fract_z
_atom_site_occupancy
Zr1 Zr 0.000 0.000 0.000 1
C1 C 0.500 0.500 0.500 1
N1 N 0.500 0.500 0.000 1
O1 O 0.000 0.500 0.500 1
O2 O 0.500 0.000 0.500 1
# * space group: No. 123
# * total energy: -7.89 eV per atom
# * raw formation energy: -0.3350 eV per atom

No. 4
# Os3CN, relaxed, DFT PBEsol
data_Os3CN
_space_group_name_H-M_alt 'P 1'
_space_group_IT_number 1
_cell_length_a 3.970
_cell_length_b 3.970
_cell_length_c 3.970
_cell_angle_alpha 90.00
_cell_angle_beta 90.00
_cell_angle_gamma 90.00
loop_
_space_group_symop_operation_xyz
'x,y,z'
loop_
_atom_site_label
_atom_site_type_symbol
_atom_site_fract_x
_atom_site_fract_y
_atom_site_fract_z
_atom_site_occupancy
Os1 Os 0.000 0.000 0.500 1
Os2 Os 0.000 0.500 0.000 1
Os3 Os 0.500 0.000 0.000 1
C1 C 0.000 0.000 0.000 1
N1 N 0.500 0.500 0.500 1
# * space group: No. 221
# * total energy: -9.15 eV per atom
# * raw formation energy: 1.8148 eV per atom

No. 5
# PdPb2CN, relaxed, DFT PBEsol
data_PdPb2CN
_space_group_name_H-M_alt 'P 1'
_space_group_IT_number 1
_cell_length_a 5.421
_cell_length_b 5.421
_cell_length_c 3.600
_cell_angle_alpha 90.00
_cell_angle_beta 90.00
_cell_angle_gamma 90.00
loop_
_space_group_symop_operation_xyz
'x,y,z'
loop_
_atom_site_label
_atom_site_type_symbol
_atom_site_fract_x
_atom_site_fract_y
_atom_site_fract_z
_atom_site_occupancy
Pd1 Pd 0.000 0.000 0.000 1
Pb1 Pb 0.000 0.500 0.000 1
Pb2 Pb 0.500 0.000 0.000 1
C1 C 0.500 0.500 0.500 1
N1 N 0.000 0.000 0.500 1
# * space group: No. 123
# * total energy: -4.86 eV per atom
# * raw formation energy: 1.5608 eV per atom

No. 6
# Rb2PtCN, relaxed, DFT PBEsol
data_Rb2PtCN
_space_group_name_H-M_alt 'P 1'
_space_group_IT_number 1
_cell_length_a 6.123
_cell_length_b 6.123
_cell_length_c 2.698
_cell_angle_alpha 90.00
_cell_angle_beta 90.00
_cell_angle_gamma 90.00
loop_
_space_group_symop_operation_xyz
'x,y,z'
loop_
_atom_site_label
_atom_site_type_symbol
_atom_site_fract_x
_atom_site_fract_y
_atom_site_fract_z
_atom_site_occupancy
Rb1 Rb 0.000 0.500 0.000 1
Rb2 Rb 0.500 0.000 0.000 1
Pt1 Pt 0.000 0.000 0.500 1
C1 C 0.500 0.500 0.000 1
N1 N 0.500 0.500 0.500 1
# * space group: No. 123
# * total energy: -4.67 eV per atom
# * raw formation energy: 0.7641 eV per atom

No. 7
# TePtCN2, relaxed, DFT PBEsol
data_TePtCN2
_space_group_name_H-M_alt 'P 1'
_space_group_IT_number 1
_cell_length_a 3.617
_cell_length_b 3.617
_cell_length_c 7.705
_cell_angle_alpha 90.00
_cell_angle_beta 90.00
_cell_angle_gamma 90.00
loop_
_space_group_symop_operation_xyz
'x,y,z'
loop_
_atom_site_label
_atom_site_type_symbol
_atom_site_fract_x
_atom_site_fract_y
_atom_site_fract_z
_atom_site_occupancy
Te1 Te 0.000 0.000 0.000 1
Pt1 Pt 0.000 0.000 0.500 1
C1 C 0.500 0.500 0.000 1
N1 N 0.000 0.500 0.500 1
N2 N 0.500 0.000 0.500 1
# * space group: No. 123
# * total energy: -5.51 eV per atom
# * raw formation energy: 1.9251 eV per atom

No. 8
# ZnPtC4N4, relaxed, DFT PBEsol
data_ZnPtC4N4
_space_group_name_H-M_alt 'P 1'
_space_group_IT_number 1
_cell_length_a 5.393
_cell_length_b 5.393
_cell_length_c 13.270
_cell_angle_alpha 90.00
_cell_angle_beta 90.00
_cell_angle_gamma 90.00
loop_
_space_group_symop_operation_xyz
'x,y,z'
loop_
_atom_site_label
_atom_site_type_symbol
_atom_site_fract_x
_atom_site_fract_y
_atom_site_fract_z
_atom_site_occupancy
Zn1 Zn 0.000 0.000 0.250 1
Zn2 Zn 0.000 0.000 0.750 1
Pt1 Pt 0.500 0.500 0.000 1
Pt2 Pt 0.500 0.500 0.500 1
C1 C 0.316 0.316 0.103 1
C2 C 0.316 0.316 0.897 1
C3 C 0.316 0.684 0.397 1
C4 C 0.316 0.684 0.603 1
C5 C 0.684 0.316 0.397 1
C6 C 0.684 0.316 0.603 1
C7 C 0.684 0.684 0.103 1
C8 C 0.684 0.684 0.897 1
N1 N 0.204 0.204 0.163 1
N2 N 0.204 0.204 0.837 1
N3 N 0.204 0.796 0.337 1
N4 N 0.204 0.796 0.663 1
N5 N 0.796 0.204 0.337 1
N6 N 0.796 0.204 0.663 1
N7 N 0.796 0.796 0.163 1
N8 N 0.796 0.796 0.837 1
# * space group: No. 132
# * total energy: -7.96 eV per atom
# * raw formation energy: 0.1602 eV per atom

No. 9
# ReRh2CN, relaxed, DFT PBEsol
data_ReRh2CN
_space_group_name_H-M_alt 'P 1'
_space_group_IT_number 1
_cell_length_a 3.834
_cell_length_b 3.834
_cell_length_c 4.048
_cell_angle_alpha 90.00
_cell_angle_beta 90.00
_cell_angle_gamma 90.00
loop_
_space_group_symop_operation_xyz
'x,y,z'
loop_
_atom_site_label
_atom_site_type_symbol
_atom_site_fract_x
_atom_site_fract_y
_atom_site_fract_z
_atom_site_occupancy
Re1 Re 0.000 0.000 0.000 1
Rh1 Rh 0.000 0.500 0.500 1
Rh2 Rh 0.500 0.000 0.500 1
C1 C 0.500 0.500 0.500 1
N1 N 0.500 0.500 0.000 1
# * space group: No. 123
# * total energy: -7.95 eV per atom
# * raw formation energy: 1.6092 eV per atom

No. 10
# ReSnC2N, relaxed, DFT PBEsol
data_ReSnC2N
_space_group_name_H-M_alt 'P 1'
_space_group_IT_number 1
_cell_length_a 4.071
_cell_length_b 4.071
_cell_length_c 3.761
_cell_angle_alpha 90.00
_cell_angle_beta 90.00
_cell_angle_gamma 90.00
loop_
_space_group_symop_operation_xyz
'x,y,z'
loop_
_atom_site_label
_atom_site_type_symbol
_atom_site_fract_x
_atom_site_fract_y
_atom_site_fract_z
_atom_site_occupancy
Re1 Re 0.000 0.000 0.000 1
Sn1 Sn 0.500 0.500 0.000 1
C1 C 0.000 0.500 0.500 1
C2 C 0.500 0.000 0.500 1
N1 N 0.000 0.000 0.500 1
# * space group: No. 123
# * total energy: -6.73 eV per atom
# * raw formation energy: 2.3484 eV per atom

No. 11
# RhCN2, relaxed, DFT PBEsol
data_RhCN2
_space_group_name_H-M_alt 'P 1'
_space_group_IT_number 1
_cell_length_a 3.168
_cell_length_b 3.168
_cell_length_c 14.017
_cell_angle_alpha 90.00
_cell_angle_beta 90.00
_cell_angle_gamma 120.00
loop_
_space_group_symop_operation_xyz
'x,y,z'
loop_
_atom_site_label
_atom_site_type_symbol
_atom_site_fract_x
_atom_site_fract_y
_atom_site_fract_z
_atom_site_occupancy
Rh1 Rh 0.000 0.000 0.000 1
Rh2 Rh 0.333 0.667 0.667 1
Rh3 Rh 0.667 0.333 0.333 1
C1 C 0.000 0.000 0.500 1
C2 C 0.333 0.667 0.167 1
C3 C 0.667 0.333 0.833 1
N1 N 0.000 0.000 0.411 1
N2 N 0.000 0.000 0.589 1
N3 N 0.333 0.667 0.078 1
N4 N 0.333 0.667 0.255 1
N5 N 0.667 0.333 0.745 1
N6 N 0.667 0.333 0.922 1
# * space group: No. 166
# * total energy: -8.35 eV per atom
# * raw formation energy: 0.3558 eV per atom

No. 12
# RuCN2, relaxed, DFT PBEsol
data_RuCN2
_space_group_name_H-M_alt 'P 1'
_space_group_IT_number 1
_cell_length_a 2.890
_cell_length_b 2.890
_cell_length_c 15.398
_cell_angle_alpha 90.00
_cell_angle_beta 90.00
_cell_angle_gamma 120.00
loop_
_space_group_symop_operation_xyz
'x,y,z'
loop_
_atom_site_label
_atom_site_type_symbol
_atom_site_fract_x
_atom_site_fract_y
_atom_site_fract_z
_atom_site_occupancy
Ru1 Ru 0.000 0.000 0.000 1
Ru2 Ru 0.333 0.667 0.667 1
Ru3 Ru 0.667 0.333 0.333 1
C1 C 0.000 0.000 0.500 1
C2 C 0.333 0.667 0.167 1
C3 C 0.667 0.333 0.833 1
N1 N 0.000 0.000 0.419 1
N2 N 0.000 0.000 0.581 1
N3 N 0.333 0.667 0.086 1
N4 N 0.333 0.667 0.248 1
N5 N 0.667 0.333 0.752 1
N6 N 0.667 0.333 0.914 1
# * space group: No. 166
# * total energy: -8.80 eV per atom
# * raw formation energy: 0.4159 eV per atom

No. 13
# RuCSeN2, relaxed, DFT PBEsol
data_RuCSeN2
_space_group_name_H-M_alt 'P 1'
_space_group_IT_number 1
_cell_length_a 3.643
_cell_length_b 3.643
_cell_length_c 5.311
_cell_angle_alpha 90.00
_cell_angle_beta 90.00
_cell_angle_gamma 90.00
loop_
_space_group_symop_operation_xyz
'x,y,z'
loop_
_atom_site_label
_atom_site_type_symbol
_atom_site_fract_x
_atom_site_fract_y
_atom_site_fract_z
_atom_site_occupancy
Ru1 Ru 0.000 0.000 0.000 1
C1 C 0.500 0.500 0.500 1
Se1 Se 0.000 0.000 0.500 1
N1 N 0.000 0.500 0.000 1
N2 N 0.500 0.000 0.000 1
# * space group: No. 123
# * total energy: -6.39 eV per atom
# * raw formation energy: 1.7523 eV per atom

No. 14
# TcCSN2, relaxed, DFT PBEsol
data_TcCSN2
_space_group_name_H-M_alt 'P 1'
_space_group_IT_number 1
_cell_length_a 3.495
_cell_length_b 3.495
_cell_length_c 3.692
_cell_angle_alpha 90.00
_cell_angle_beta 90.00
_cell_angle_gamma 90.00
loop_
_space_group_symop_operation_xyz
'x,y,z'
loop_
_atom_site_label
_atom_site_type_symbol
_atom_site_fract_x
_atom_site_fract_y
_atom_site_fract_z
_atom_site_occupancy
Tc1 Tc 0.000 0.000 0.000 1
C1 C 0.500 0.500 0.500 1
S1 S 0.500 0.500 0.000 1
N1 N 0.000 0.500 0.500 1
N2 N 0.500 0.000 0.500 1
# * space group: No. 123
# * total energy: -6.60 eV per atom
# * raw formation energy: 1.8648 eV per atom

No. 15
# TlCSN, relaxed, DFT PBEsol
data_TlCSN
_space_group_name_H-M_alt 'P 1'
_space_group_IT_number 1
_cell_length_a 6.731
_cell_length_b 6.660
_cell_length_c 7.323
_cell_angle_alpha 90.00
_cell_angle_beta 90.00
_cell_angle_gamma 90.00
loop_
_space_group_symop_operation_xyz
'x,y,z'
loop_
_atom_site_label
_atom_site_type_symbol
_atom_site_fract_x
_atom_site_fract_y
_atom_site_fract_z
_atom_site_occupancy
Tl1 Tl 0.208 0.250 0.000 1
Tl2 Tl 0.208 0.250 0.500 1
Tl3 Tl 0.792 0.750 0.000 1
Tl4 Tl 0.792 0.750 0.500 1
C1 C 0.241 0.722 0.250 1
C2 C 0.241 0.778 0.750 1
C3 C 0.759 0.222 0.250 1
C4 C 0.759 0.278 0.750 1
S1 S 0.409 0.602 0.750 1
S2 S 0.409 0.898 0.250 1
S3 S 0.591 0.102 0.750 1
S4 S 0.591 0.398 0.250 1
N1 N 0.117 0.594 0.250 1
N2 N 0.117 0.906 0.750 1
N3 N 0.883 0.094 0.250 1
N4 N 0.883 0.406 0.750 1
# * space group: No. 57
# * total energy: -6.22 eV per atom
# * raw formation energy: 0.0794 eV per atom

No. 16
# TlCSN2, relaxed, DFT PBEsol
data_TlCSN2
_space_group_name_H-M_alt 'P 1'
_space_group_IT_number 1
_cell_length_a 3.713
_cell_length_b 3.713
_cell_length_c 4.079
_cell_angle_alpha 90.00
_cell_angle_beta 90.00
_cell_angle_gamma 90.00
loop_
_space_group_symop_operation_xyz
'x,y,z'
loop_
_atom_site_label
_atom_site_type_symbol
_atom_site_fract_x
_atom_site_fract_y
_atom_site_fract_z
_atom_site_occupancy
Tl1 Tl 0.000 0.000 0.000 1
C1 C 0.500 0.500 0.500 1
S1 S 0.500 0.500 0.000 1
N1 N 0.000 0.500 0.500 1
N2 N 0.500 0.000 0.500 1
# * space group: No. 123
# * total energy: -4.66 eV per atom
# * raw formation energy: 2.0784 eV per atom

No. 17
# ZnC2S2N2, relaxed, DFT PBEsol
data_ZnC2S2N2
_space_group_name_H-M_alt 'P 1'
_space_group_IT_number 1
_cell_length_a 7.602
_cell_length_b 8.040
_cell_length_c 10.623
_cell_angle_alpha 73.11
_cell_angle_beta 71.29
_cell_angle_gamma 86.08
loop_
_space_group_symop_operation_xyz
'x,y,z'
loop_
_atom_site_label
_atom_site_type_symbol
_atom_site_fract_x
_atom_site_fract_y
_atom_site_fract_z
_atom_site_occupancy
Zn1 Zn 0.197 0.408 0.325 1
Zn2 Zn 0.280 0.068 0.810 1
Zn3 Zn 0.720 0.932 0.190 1
Zn4 Zn 0.803 0.592 0.675 1
C1 C 0.073 0.125 0.607 1
C2 C 0.089 0.407 0.817 1
C3 C 0.381 0.707 0.374 1
C4 C 0.498 0.750 0.879 1
C5 C 0.502 0.250 0.121 1
C6 C 0.619 0.293 0.626 1
C7 C 0.911 0.593 0.183 1
C8 C 0.927 0.875 0.393 1
S1 S 0.027 0.983 0.759 1
S2 S 0.216 0.297 0.910 1
S3 S 0.339 0.837 0.984 1
S4 S 0.471 0.871 0.395 1
S5 S 0.529 0.129 0.605 1
S6 S 0.661 0.163 0.016 1
S7 S 0.784 0.703 0.090 1
S8 S 0.973 0.017 0.241 1
N1 N 0.004 0.509 0.247 1
N2 N 0.103 0.226 0.497 1
N3 N 0.312 0.589 0.361 1
N4 N 0.386 0.315 0.193 1
N5 N 0.614 0.685 0.807 1
N6 N 0.688 0.411 0.639 1
N7 N 0.897 0.774 0.503 1
N8 N 0.996 0.491 0.753 1
# * space group: No. 2
# * total energy: -6.62 eV per atom
# * raw formation energy: 0.0547 eV per atom

No. 18
# SrSbC2N, relaxed, DFT PBEsol
data_SrSbC2N
_space_group_name_H-M_alt 'P 1'
_space_group_IT_number 1
_cell_length_a 4.493
_cell_length_b 4.493
_cell_length_c 6.400
_cell_angle_alpha 90.00
_cell_angle_beta 90.00
_cell_angle_gamma 90.00
loop_
_space_group_symop_operation_xyz
'x,y,z'
loop_
_atom_site_label
_atom_site_type_symbol
_atom_site_fract_x
_atom_site_fract_y
_atom_site_fract_z
_atom_site_occupancy
Sr1 Sr 0.000 0.000 0.000 1
Sb1 Sb 0.000 0.000 0.500 1
C1 C 0.000 0.500 0.000 1
C2 C 0.500 0.000 0.000 1
N1 N 0.500 0.500 0.500 1
# * space group: No. 123
# * total energy: -3.25 eV per atom
# * raw formation energy: 3.5965 eV per atom

No. 19
# Sc2CN, relaxed, DFT PBEsol
data_Sc2CN
_space_group_name_H-M_alt 'P 1'
_space_group_IT_number 1
_cell_length_a 3.432
_cell_length_b 3.432
_cell_length_c 19.094
_cell_angle_alpha 90.00
_cell_angle_beta 90.00
_cell_angle_gamma 120.00
loop_
_space_group_symop_operation_xyz
'x,y,z'
loop_
_atom_site_label
_atom_site_type_symbol
_atom_site_fract_x
_atom_site_fract_y
_atom_site_fract_z
_atom_site_occupancy
Sc1 Sc 0.000 0.000 0.104 1
Sc2 Sc 0.000 0.000 0.896 1
Sc3 Sc 0.333 0.667 0.563 1
Sc4 Sc 0.333 0.667 0.771 1
Sc5 Sc 0.667 0.333 0.229 1
Sc6 Sc 0.667 0.333 0.437 1
C1 C 0.000 0.000 0.500 1
C2 C 0.333 0.667 0.167 1
C3 C 0.667 0.333 0.833 1
N1 N 0.000 0.000 0.000 1
N2 N 0.333 0.667 0.667 1
N3 N 0.667 0.333 0.333 1
# * space group: No. 166
# * energy relative to the lowest polymorph listed for this composition: 107 meV per atom
# * total energy: -8.01 eV per atom
# * raw formation energy: -0.1654 eV per atom

No. 20
# Sc3CN, relaxed, DFT PBEsol
data_Sc3CN
_space_group_name_H-M_alt 'P 1'
_space_group_IT_number 1
_cell_length_a 4.286
_cell_length_b 4.286
_cell_length_c 4.286
_cell_angle_alpha 90.00
_cell_angle_beta 90.00
_cell_angle_gamma 90.00
loop_
_space_group_symop_operation_xyz
'x,y,z'
loop_
_atom_site_label
_atom_site_type_symbol
_atom_site_fract_x
_atom_site_fract_y
_atom_site_fract_z
_atom_site_occupancy
Sc1 Sc 0.000 0.000 0.500 1
Sc2 Sc 0.000 0.500 0.000 1
Sc3 Sc 0.500 0.000 0.000 1
C1 C 0.000 0.000 0.000 1
N1 N 0.500 0.500 0.500 1
# * space group: No. 221
# * total energy: -7.56 eV per atom
# * raw formation energy: 0.0415 eV per atom